1.
An optimized crystal structure of AgTe2Pb. Source: Alexandria, functional GGA-PBE.

Cell: 4.382 4.382 7.519 Å, 106.78 106.78 60.12°
Fractional coordinates of all 4 atoms:
Ag: 0.000 0.000 0.000
Te: 0.259 0.259 0.779
Te: 0.741 0.741 0.221
Pb: 0.500 0.500 0.500

Values from the calculation:
Calculated volume ... 118.0 Å³/cell
Total magnetization ... 0.00 μB/f.u.

2.
An optimized crystal structure of AgTePb2. Source: Alexandria, functional GGA-PBE.

Cell: 7.957 7.957 7.957 Å, 31.41 31.41 31.41°
Fractional coordinates of all 4 atoms:
Ag: 0.000 0.000 0.000
Te: 0.500 0.500 0.500
Pb: 0.257 0.257 0.257
Pb: 0.743 0.743 0.743

Values from the calculation:
Calculated volume ... 121.4 Å³/cell
Total magnetization ... 0.00 μB/f.u.

Asked for formation energy from raw total energies across the records above, the calculation gives -61; -7 kJ/mol of formula units in order.